[1]
A plane-wave DFT calculation with GGA-PBE was carried out for an optimized crystal structure of LaCe2PrSb4.

Total energy ... -5.90 eV/atom
Total magnetization ... 0.19 μB per atom
ρ ... 6538 kg/m3

Geometry as CIF:
```
data_LaCe2PrSb4
_space_group_name_H-M_alt 'P 1 2/m 1'
_space_group_IT_number 10
_space_group_name_Hall '-P 2y'
_cell_length_a 7.876
_cell_length_b 4.545
_cell_length_c 7.878
_cell_angle_alpha 90.00
_cell_angle_beta 109.45
_cell_angle_gamma 90.00
loop_
_atom_site_label
_atom_site_type_symbol
_atom_site_fract_x
_atom_site_fract_y
_atom_site_fract_z
La1 La 0.000 0.000 0.000
Ce1 Ce 0.000 0.500 0.500
Ce2 Ce 0.500 0.000 0.500
Pr1 Pr 0.500 0.500 0.000
Sb1 Sb 0.249 0.000 0.744
Sb2 Sb 0.254 0.500 0.257
```


[2]
A plane-wave DFT calculation with GGA-PBE was carried out for an optimized crystal structure of La2Ce3PrSb6.

Total energy ... -5.91 eV/atom
Total magnetization ... 0.20 μB per atom
ρ ... 6504 kg/m3

Geometry as CIF:
```
data_La2Ce3PrSb6
_space_group_name_H-M_alt 'C 1 2/m 1'
_space_group_IT_number 12
_space_group_name_Hall '-C 2y'
_cell_length_a 7.886
_cell_length_b 13.657
_cell_length_c 7.892
_cell_angle_alpha 90.00
_cell_angle_beta 109.46
_cell_angle_gamma 90.00
loop_
_atom_site_label
_atom_site_type_symbol
_atom_site_fract_x
_atom_site_fract_y
_atom_site_fract_z
La1 La 0.000 0.166 0.000
Ce1 Ce 0.000 0.000 0.500
Ce2 Ce 0.000 0.333 0.500
Pr1 Pr 0.000 0.500 0.000
Sb1 Sb 0.246 0.500 0.743
Sb2 Sb 0.249 0.166 0.743
```


[3]
A plane-wave DFT calculation with GGA-PBE was carried out for an optimized crystal structure of La3Ce2PrSb6.

Total energy ... -5.87 eV/atom
Total magnetization ... 0.13 μB per atom
ρ ... 6409 kg/m3

Geometry as CIF:
```
data_La3Ce2PrSb6
_space_group_name_H-M_alt 'C 1 2/m 1'
_space_group_IT_number 12
_space_group_name_Hall '-C 2y'
_cell_length_a 7.922
_cell_length_b 13.720
_cell_length_c 7.930
_cell_angle_alpha 90.00
_cell_angle_beta 109.44
_cell_angle_gamma 90.00
loop_
_atom_site_label
_atom_site_type_symbol
_atom_site_fract_x
_atom_site_fract_y
_atom_site_fract_z
La1 La 0.000 0.000 0.000
La2 La 0.000 0.334 0.000
Ce1 Ce 0.000 0.167 0.500
Pr1 Pr 0.000 0.500 0.500
Sb1 Sb 0.244 0.000 0.743
Sb2 Sb 0.250 0.168 0.256
```


[4]
A plane-wave DFT calculation with GGA-PBE was carried out for an optimized crystal structure of LaCePr2Sb4.

Total energy ... -5.79 eV/atom
Total magnetization ... 0.09 μB per atom
ρ ... 6484 kg/m3

Geometry as CIF:
```
data_LaCePr2Sb4
_space_group_name_H-M_alt 'P 1 2/m 1'
_space_group_IT_number 10
_space_group_name_Hall '-P 2y'
_cell_length_a 7.898
_cell_length_b 4.557
_cell_length_c 7.905
_cell_angle_alpha 90.00
_cell_angle_beta 109.39
_cell_angle_gamma 90.00
loop_
_atom_site_label
_atom_site_type_symbol
_atom_site_fract_x
_atom_site_fract_y
_atom_site_fract_z
La1 La 0.000 0.000 0.000
Ce1 Ce 0.000 0.500 0.500
Pr1 Pr 0.500 0.000 0.500
Pr2 Pr 0.500 0.500 0.000
Sb1 Sb 0.247 0.000 0.745
Sb2 Sb 0.249 0.500 0.254
```


[5]
A plane-wave DFT calculation with GGA-PBE was carried out for an optimized crystal structure of La6CePr2Sc.

Total magnetization ... 0.10 μB per atom
Formation energy from the elements ... 19.3 kJ/mol of atoms
ρ ... 6107 kg/m3

Geometry as CIF:
```
data_La6CePr2Sc
_space_group_name_H-M_alt 'C 1 2/m 1'
_space_group_IT_number 12
_space_group_name_Hall '-C 2y'
_cell_length_a 11.767
_cell_length_b 7.101
_cell_length_c 8.889
_cell_angle_alpha 90.00
_cell_angle_beta 107.80
_cell_angle_gamma 90.00
loop_
_atom_site_label
_atom_site_type_symbol
_atom_site_fract_x
_atom_site_fract_y
_atom_site_fract_z
La1 La 0.123 0.000 0.407
La2 La 0.173 0.264 0.789
Ce1 Ce 0.000 0.000 0.000
Pr1 Pr 0.094 0.500 0.182
Sc1 Sc 0.000 0.500 0.500
```


[6]
A plane-wave DFT calculation with GGA-PBE was carried out for an optimized crystal structure of LaCePrSc.

Total magnetization ... 0.62 μB per atom
Formation energy from the elements ... 19.0 kJ/mol of atoms
ρ ... 5997 kg/m3

Geometry as CIF:
```
data_LaCePrSc
_space_group_name_H-M_alt 'F -4 3 m'
_space_group_IT_number 216
_space_group_name_Hall 'F -4 2 3'
_cell_length_a 8.015
_cell_length_b 8.015
_cell_length_c 8.015
_cell_angle_alpha 90.00
_cell_angle_beta 90.00
_cell_angle_gamma 90.00
loop_
_atom_site_label
_atom_site_type_symbol
_atom_site_fract_x
_atom_site_fract_y
_atom_site_fract_z
La1 La 0.000 0.000 0.000
Ce1 Ce 0.250 0.250 0.750
Pr1 Pr 0.000 0.000 0.500
Sc1 Sc 0.250 0.250 0.250
```


[7]
A plane-wave DFT calculation with GGA-PBE was carried out for an optimized crystal structure of La3CePr2Se6.

Total energy ... -6.19 eV/atom
Total magnetization ... 0.08 μB per atom
ρ ... 6548 kg/m3

Geometry as CIF:
```
data_La3CePr2Se6
_space_group_name_H-M_alt 'C 1 2/m 1'
_space_group_IT_number 12
_space_group_name_Hall '-C 2y'
_cell_length_a 7.408
_cell_length_b 12.853
_cell_length_c 7.418
_cell_angle_alpha 90.00
_cell_angle_beta 109.54
_cell_angle_gamma 90.00
loop_
_atom_site_label
_atom_site_type_symbol
_atom_site_fract_x
_atom_site_fract_y
_atom_site_fract_z
La1 La 0.000 0.000 0.000
La2 La 0.000 0.331 0.000
Ce1 Ce 0.000 0.500 0.500
Pr1 Pr 0.000 0.167 0.500
Se1 Se 0.247 0.335 0.745
Se2 Se 0.247 0.500 0.252
```


[8]
A plane-wave DFT calculation with GGA-PBE was carried out for an optimized crystal structure of La2CePr3Se6.

Total energy ... -6.15 eV/atom
Total magnetization ... 0.10 μB per atom
ρ ... 6589 kg/m3

Geometry as CIF:
```
data_La2CePr3Se6
_space_group_name_H-M_alt 'C 1 2/m 1'
_space_group_IT_number 12
_space_group_name_Hall '-C 2y'
_cell_length_a 18.604
_cell_length_b 4.265
_cell_length_c 8.573
_cell_angle_alpha 90.00
_cell_angle_beta 103.11
_cell_angle_gamma 90.00
loop_
_atom_site_label
_atom_site_type_symbol
_atom_site_fract_x
_atom_site_fract_y
_atom_site_fract_z
La1 La 0.166 0.000 0.332
Ce1 Ce 0.000 0.500 0.000
Pr1 Pr 0.000 0.500 0.500
Pr2 Pr 0.168 0.000 0.835
Se1 Se 0.001 0.000 0.754
Se2 Se 0.165 0.500 0.082
Se3 Se 0.167 0.500 0.585
```


[9]
A plane-wave DFT calculation with GGA-PBE was carried out for an optimized crystal structure of LaCePr4Se8.

Total energy ... -5.87 eV/atom
Total magnetization ... 0.12 μB per atom
ρ ... 5105 kg/m3

Geometry as CIF:
```
data_LaCePr4Se8
_space_group_name_H-M_alt 'R 3 m'
_space_group_IT_number 160
_space_group_name_Hall 'R 3 -2"'
_cell_length_a 8.7852
_cell_length_b 8.7852
_cell_length_c 21.5254
_cell_angle_alpha 90.00
_cell_angle_beta 90.00
_cell_angle_gamma 120.00
loop_
_atom_site_label
_atom_site_type_symbol
_atom_site_fract_x
_atom_site_fract_y
_atom_site_fract_z
La1 La 0.0000 0.0000 0.0000
Ce1 Ce 0.0000 0.0000 0.3761
Pr1 Pr 0.0000 0.0000 0.7514
Pr2 Pr 0.1673 0.3346 0.2089
Se1 Se 0.0000 0.0000 0.1338
Se2 Se 0.0000 0.0000 0.6188
Se3 Se 0.0210 0.5105 0.1277
Se4 Se 0.1788 0.3576 0.9566
```


[10]
A plane-wave DFT calculation with GGA-PBE was carried out for an optimized crystal structure of La3Ce2PrSe6.

Total energy ... -6.28 eV/atom
Total magnetization ... 0.16 μB per atom
ρ ... 6589 kg/m3

Geometry as CIF:
```
data_La3Ce2PrSe6
_space_group_name_H-M_alt 'C 1 2/m 1'
_space_group_IT_number 12
_space_group_name_Hall '-C 2y'
_cell_length_a 7.383
_cell_length_b 12.800
_cell_length_c 7.418
_cell_angle_alpha 90.00
_cell_angle_beta 109.43
_cell_angle_gamma 90.00
loop_
_atom_site_label
_atom_site_type_symbol
_atom_site_fract_x
_atom_site_fract_y
_atom_site_fract_z
La1 La 0.000 0.000 0.000
La2 La 0.000 0.336 0.000
Ce1 Ce 0.000 0.167 0.500
Pr1 Pr 0.000 0.500 0.500
Se1 Se 0.244 0.000 0.743
Se2 Se 0.250 0.168 0.255
```


[11]
A plane-wave DFT calculation with GGA-PBE was carried out for an optimized crystal structure of LaCe3Pr3Se8.

Total energy ... -6.20 eV/atom
Total magnetization ... 0.23 μB per atom
ρ ... 6229 kg/m3

Geometry as CIF:
```
data_LaCe3Pr3Se8
_space_group_name_H-M_alt 'R -3 m'
_space_group_IT_number 166
_space_group_name_Hall '-R 3 2"'
_cell_length_a 8.4690
_cell_length_b 8.4690
_cell_length_c 20.7754
_cell_angle_alpha 90.00
_cell_angle_beta 90.00
_cell_angle_gamma 120.00
loop_
_atom_site_label
_atom_site_type_symbol
_atom_site_fract_x
_atom_site_fract_y
_atom_site_fract_z
La1 La 0.0000 0.0000 0.0000
Ce1 Ce 0.0000 0.5000 0.0000
Pr1 Pr 0.0000 0.5000 0.5000
Se1 Se 0.0000 0.0000 0.2515
Se2 Se 0.0076 0.5038 0.2497
```


[12]
A plane-wave DFT calculation with GGA-PBE was carried out for an optimized crystal structure of LaCe2Pr3Se6.

Total energy ... -6.20 eV/atom
Total magnetization ... 0.16 μB per atom
ρ ... 6685 kg/m3

Geometry as CIF:
```
data_LaCe2Pr3Se6
_space_group_name_H-M_alt 'C 1 2/m 1'
_space_group_IT_number 12
_space_group_name_Hall '-C 2y'
_cell_length_a 7.364
_cell_length_b 12.766
_cell_length_c 7.376
_cell_angle_alpha 90.00
_cell_angle_beta 109.51
_cell_angle_gamma 90.00
loop_
_atom_site_label
_atom_site_type_symbol
_atom_site_fract_x
_atom_site_fract_y
_atom_site_fract_z
La1 La 0.000 0.000 0.000
Ce1 Ce 0.000 0.333 0.000
Pr1 Pr 0.000 0.164 0.500
Pr2 Pr 0.000 0.500 0.500
Se1 Se 0.244 0.500 0.245
Se2 Se 0.248 0.331 0.752
```


[13]
A plane-wave DFT calculation with GGA-PBE was carried out for an optimized crystal structure of LaCe3Pr2Se6.

Total energy ... -6.30 eV/atom
Total magnetization ... 0.24 μB per atom
ρ ... 6729 kg/m3

Geometry as CIF:
```
data_LaCe3Pr2Se6
_space_group_name_H-M_alt 'C 1 2/m 1'
_space_group_IT_number 12
_space_group_name_Hall '-C 2y'
_cell_length_a 7.334
_cell_length_b 12.711
_cell_length_c 7.379
_cell_angle_alpha 90.00
_cell_angle_beta 109.38
_cell_angle_gamma 90.00
loop_
_atom_site_label
_atom_site_type_symbol
_atom_site_fract_x
_atom_site_fract_y
_atom_site_fract_z
La1 La 0.000 0.000 0.000
Ce1 Ce 0.000 0.167 0.500
Ce2 Ce 0.000 0.500 0.500
Pr1 Pr 0.000 0.333 0.000
Se1 Se 0.248 0.333 0.744
Se2 Se 0.249 0.000 0.745
```


[14]
A plane-wave DFT calculation with GGA-PBE was carried out for an optimized crystal structure of LaCe4Pr3Se8.

Total energy ... -6.29 eV/atom
Total magnetization ... 0.24 μB per atom
ρ ... 6741 kg/m3

Geometry as CIF:
```
data_LaCe4Pr3Se8
_space_group_name_H-M_alt 'R -3 m'
_space_group_IT_number 166
_space_group_name_Hall '-R 3 2"'
_cell_length_a 8.4683
_cell_length_b 8.4683
_cell_length_c 20.8679
_cell_angle_alpha 90.00
_cell_angle_beta 90.00
_cell_angle_gamma 120.00
loop_
_atom_site_label
_atom_site_type_symbol
_atom_site_fract_x
_atom_site_fract_y
_atom_site_fract_z
La1 La 0.0000 0.0000 0.0000
Ce1 Ce 0.0000 0.0000 0.5000
Ce2 Ce 0.0000 0.5000 0.5000
Pr1 Pr 0.0000 0.5000 0.0000
Se1 Se 0.0000 0.0000 0.2484
Se2 Se 0.0011 0.5005 0.2482
```


[15]
A plane-wave DFT calculation with GGA-PBE was carried out for an optimized crystal structure of La2CePrSe4.

Total energy ... -6.23 eV/atom
Total magnetization ... 0.13 μB per atom
ρ ... 6567 kg/m3

Geometry as CIF:
```
data_La2CePrSe4
_space_group_name_H-M_alt 'P 1 2/m 1'
_space_group_IT_number 10
_space_group_name_Hall '-P 2y'
_cell_length_a 7.411
_cell_length_b 4.262
_cell_length_c 7.421
_cell_angle_alpha 90.00
_cell_angle_beta 109.33
_cell_angle_gamma 90.00
loop_
_atom_site_label
_atom_site_type_symbol
_atom_site_fract_x
_atom_site_fract_y
_atom_site_fract_z
La1 La 0.000 0.000 0.000
La2 La 0.500 0.500 0.000
Ce1 Ce 0.000 0.500 0.500
Pr1 Pr 0.500 0.000 0.500
Se1 Se 0.246 0.000 0.744
Se2 Se 0.249 0.500 0.254
```


[16]
A plane-wave DFT calculation with GGA-PBE was carried out for an optimized crystal structure of LaCePrSe3.

Total energy ... -6.00 eV/atom
Total magnetization ... 0.34 μB per atom
ρ ... 6102 kg/m3

Geometry as CIF:
```
data_LaCePrSe3
_space_group_name_H-M_alt 'P 1 21/m 1'
_space_group_IT_number 11
_space_group_name_Hall '-P 2yb'
_cell_length_a 8.260
_cell_length_b 4.216
_cell_length_c 10.557
_cell_angle_alpha 90.00
_cell_angle_beta 103.50
_cell_angle_gamma 90.00
loop_
_atom_site_label
_atom_site_type_symbol
_atom_site_fract_x
_atom_site_fract_y
_atom_site_fract_z
La1 La 0.185 0.250 0.207
Ce1 Ce 0.172 0.250 0.618
Pr1 Pr 0.340 0.750 0.900
Se1 Se 0.086 0.250 0.888
Se2 Se 0.203 0.750 0.431
Se3 Se 0.462 0.750 0.197
```


[17]
A plane-wave DFT calculation with GGA-PBE was carried out for an optimized crystal structure of La5CePrSm2.

Total magnetization ... 0.14 μB per atom
Formation energy from the elements ... 25.2 kJ/mol of atoms
ρ ... 6522 kg/m3

Geometry as CIF:
```
data_La5CePrSm2
_space_group_name_H-M_alt 'P 4/m b m'
_space_group_IT_number 127
_space_group_name_Hall '-P 4 2ab'
_cell_length_a 8.260
_cell_length_b 8.260
_cell_length_c 9.525
_cell_angle_alpha 90.00
_cell_angle_beta 90.00
_cell_angle_gamma 90.00
loop_
_atom_site_label
_atom_site_type_symbol
_atom_site_fract_x
_atom_site_fract_y
_atom_site_fract_z
La1 La 0.000 0.000 0.000
La2 La 0.192 0.308 0.274
Ce1 Ce 0.000 0.500 0.500
Pr1 Pr 0.000 0.000 0.500
Sm1 Sm 0.130 0.630 0.000
```


[18]
A plane-wave DFT calculation with GGA-PBE was carried out for an optimized crystal structure of LaCePr2Sm2.

Total magnetization ... 0.16 μB per atom
Formation energy from the elements ... 25.2 kJ/mol of atoms
ρ ... 6836 kg/m3

Geometry as CIF:
```
data_LaCePr2Sm2
_space_group_name_H-M_alt 'P n n m'
_space_group_IT_number 58
_space_group_name_Hall '-P 2 2n'
_cell_length_a 6.674
_cell_length_b 18.262
_cell_length_c 3.434
_cell_angle_alpha 90.00
_cell_angle_beta 90.00
_cell_angle_gamma 90.00
loop_
_atom_site_label
_atom_site_type_symbol
_atom_site_fract_x
_atom_site_fract_y
_atom_site_fract_z
La1 La 0.000 0.000 0.000
Ce1 Ce 0.000 0.500 0.000
Pr1 Pr 0.208 0.185 0.000
Sm1 Sm 0.201 0.355 0.500
```


[19]
A plane-wave DFT calculation with GGA-PBE was carried out for an optimized crystal structure of LaTb2CePr6.

Total magnetization ... 0.12 μB per atom
Formation energy from the elements ... 21.2 kJ/mol of atoms
ρ ... 6760 kg/m3

Geometry as CIF:
```
data_LaTb2CePr6
_space_group_name_H-M_alt 'C 1 2/m 1'
_space_group_IT_number 12
_space_group_name_Hall '-C 2y'
_cell_length_a 11.381
_cell_length_b 7.047
_cell_length_c 9.045
_cell_angle_alpha 90.00
_cell_angle_beta 102.37
_cell_angle_gamma 90.00
loop_
_atom_site_label
_atom_site_type_symbol
_atom_site_fract_x
_atom_site_fract_y
_atom_site_fract_z
La1 La 0.000 0.000 0.000
Tb1 Tb 0.094 0.000 0.655
Ce1 Ce 0.000 0.500 0.500
Pr1 Pr 0.131 0.500 0.918
Pr2 Pr 0.169 0.236 0.300
```


[20]
A plane-wave DFT calculation with GGA-PBE was carried out for an optimized crystal structure of LaTb2CePr.

Total magnetization ... 0.13 μB per atom
Formation energy from the elements ... 25.8 kJ/mol of atoms
ρ ... 7157 kg/m3

Geometry as CIF:
```
data_LaTb2CePr
_space_group_name_H-M_alt 'P 1 2/c 1'
_space_group_IT_number 13
_space_group_name_Hall '-P 2yc'
_cell_length_a 8.568
_cell_length_b 6.479
_cell_length_c 6.231
_cell_angle_alpha 90.00
_cell_angle_beta 98.24
_cell_angle_gamma 90.00
loop_
_atom_site_label
_atom_site_type_symbol
_atom_site_fract_x
_atom_site_fract_y
_atom_site_fract_z
La1 La 0.000 0.000 0.000
Tb1 Tb 0.309 0.328 0.205
Ce1 Ce 0.000 0.451 0.750
Pr1 Pr 0.500 0.164 0.750
```